P | VASP calculation (PBE-GGA) on crystalline LaSc2Cl at its relaxed geometry.

Magnetic moment   0.0 Bohr magnetons per cell
Crystal system   tetragonal

Lattice parameters (Å, degrees): 3.3721 3.3721 9.0449 90.00 90.00 90.00
With the nearest neighbours (Å) after each atom.
Fractional coordinates of all 4 atoms:
Cl  0.5000  0.5000  0.2500  8 Sc 3.15, 4 Cl 3.37
Sc  0.0000  0.0000  0.0232  4 Cl 3.15, 4 Sc 3.37, 4 La 3.43
Sc  0.0000  0.0000  0.4768  4 Cl 3.15, 4 Sc 3.37, 4 La 3.43
La  0.5000  0.5000  0.7500  4 La 3.37, 8 Sc 3.43

***

Q | VASP calculation (PBE-GGA) on crystalline LaSc2Cl at its relaxed geometry.

Magnetic moment   0.0 Bohr magnetons per cell
Crystal system   orthorhombic

Lattice parameters (Å, degrees): 3.4192 5.7077 5.8243 90.00 90.00 90.00
With the nearest neighbours (Å) after each atom.
Fractional coordinates of all 4 atoms:
Sc  0.0000  0.0000  0.5135  2 Sc 2.75-3.07
Sc  0.0000  0.0000  0.9865  2 Sc 2.75-3.07
La  0.5000  0.5000  0.7500  2 Cl 2.91
Cl  0.5000  0.5000  0.2500  2 La 2.91

***

R | VASP calculation (PBE-GGA) on crystalline LaSc2Cl at its relaxed geometry.

Magnetic moment   0.1 Bohr magnetons per cell
Crystal system   tetragonal

Lattice parameters (Å, degrees): 5.8445 5.8445 5.8445 132.75 132.75 69.05
With the nearest neighbours (Å) after each atom.
Fractional coordinates of all 4 atoms:
Sc  0.2500  0.7500  0.5000  4 La 3.31, 4 Sc 3.36, 4 Cl 3.36
Sc  0.0000  0.0000  0.0000  4 Cl 3.31, 4 Sc 3.36, 4 La 3.36
La  0.7500  0.2500  0.5000  8 Sc 3.31-3.36, 4 Cl 3.36
Cl  0.5000  0.5000  0.0000  8 Sc 3.31-3.36, 4 La 3.36

***

It comes down to P, which is 22.1 kJ/mol of atoms more stable than the next structure.

***

P | VASP calculation (PBE-GGA) on crystalline LaSc2Cl at its relaxed geometry.

Magnetic moment   0.0 Bohr magnetons per cell
Crystal system   orthorhombic

Lattice parameters (Å, degrees): 3.3797 3.3797 9.8900 90.00 90.00 113.57
With the nearest neighbours (Å) after each atom.
Fractional coordinates of all 4 atoms:
Sc  0.0000  0.0000  0.0260  6 Sc 3.05-3.38
Sc  0.5000  0.5000  0.2711  2 Cl 2.70
La  0.5000  0.5000  0.7334  2 Cl 3.20, 4 La 3.38, 2 Sc 3.43
Cl  0.0000  0.0000  0.4695  2 Sc 2.70

***

Q | VASP calculation (PBE-GGA) on crystalline LaSc2Cl at its relaxed geometry.

Magnetic moment   0.0 Bohr magnetons per cell
Crystal system   tetragonal

Lattice parameters (Å, degrees): 8.4234 8.4234 6.6370 50.61 50.61 90.00
With the nearest neighbours (Å) after each atom.
Fractional coordinates of all 8 atoms:
Sc  0.2172  0.6250  0.2500  2 Cl 2.60
Sc  0.8750  0.7828  0.7500  2 Cl 2.60
Sc  0.3750  0.4672  0.7500  2 Cl 2.60
Sc  0.5328  0.1250  0.2500  2 Cl 2.60
Cl  0.5000  0.5000  0.0000  4 Sc 2.60
Cl  0.2500  0.7500  0.5000  4 Sc 2.60
La  0.0000  0.0000  0.0000  2 Cl 2.93
La  0.7500  0.2500  0.5000  2 Cl 2.93

***

R | VASP calculation (PBE-GGA) on crystalline LaSc2Cl at its relaxed geometry.

Magnetic moment   0.0 Bohr magnetons per cell
Crystal system   orthorhombic

Lattice parameters (Å, degrees): 3.3651 5.3937 5.7854 90.00 90.00 90.00
With the nearest neighbours (Å) after each atom.
Fractional coordinates of all 4 atoms:
Cl  0.5000  0.0000  0.5000  4 La 3.18, 4 Sc 3.35, 2 Cl 3.37
La  0.0000  0.5000  0.5000  4 Cl 3.18, 4 Sc 3.35, 2 La 3.37
Sc  0.5000  0.5000  0.0000  6 Sc 3.18-3.37, 4 La 3.35
Sc  0.0000  0.0000  0.0000  6 Sc 3.18-3.37, 4 Cl 3.35

***

S | VASP calculation (PBE-GGA) on crystalline LaSc2Cl at its relaxed geometry.

Magnetic moment   0.0 Bohr magnetons per cell
Crystal system   tetragonal

Lattice parameters (Å, degrees): 3.3598 3.3598 9.0988 90.00 90.00 90.00
With the nearest neighbours (Å) after each atom.
Fractional coordinates of all 4 atoms:
Sc  0.5000  0.5000  0.2636  4 Cl 3.10, 8 Sc 3.21-3.36
Sc  0.0000  0.0000  0.0271  8 Sc 3.21-3.36
La  0.5000  0.5000  0.7265  4 Cl 3.25, 4 La 3.36, 4 Sc 3.62
Cl  0.0000  0.0000  0.4829  4 Sc 3.10, 4 La 3.25, 4 Cl 3.36

***

It comes down to P, which is 3.3 kJ/mol of atoms more stable than the next structure.

***

P | VASP calculation (PBE-GGA) on crystalline LaSc2Cl at its relaxed geometry.

Magnetic moment   0.0 Bohr magnetons per cell
Crystal system   monoclinic

Lattice parameters (Å, degrees): 5.8250 5.8250 5.9641 76.36 76.36 33.07
With the nearest neighbours (Å) after each atom.
Fractional coordinates of all 4 atoms:
Sc  0.0348  0.0348  0.8817  2 Cl 2.91, 3 Sc 3.06-3.11
Sc  0.7781  0.7781  0.7865  2 Cl 2.72
La  0.2305  0.2305  0.2895  3 Cl 3.24-3.48, 2 La 3.32, 4 Sc 3.35-3.55
Cl  0.4566  0.4566  0.5423  4 Sc 2.72-2.91

***

Q | VASP calculation (PBE-GGA) on crystalline LaSc2Cl at its relaxed geometry.

Magnetic moment   0.0 Bohr magnetons per cell
Crystal system   orthorhombic

Lattice parameters (Å, degrees): 4.6751 3.6505 6.5993 73.93 90.00 90.00
With the nearest neighbours (Å) after each atom.
Fractional coordinates of all 4 atoms:
Cl  0.0000  0.2472  0.6311  1 Sc 2.56
Sc  0.5000  0.4731  0.1784  4 Sc 3.10, 1 La 3.31
Sc  0.0000  0.0450  0.0347  1 Cl 2.56
La  0.5000  0.7347  0.6559  4 Cl 2.97, 1 Sc 3.31

***

R | VASP calculation (PBE-GGA) on crystalline LaSc2Cl at its relaxed geometry.

Magnetic moment   0.0 Bohr magnetons per cell
Crystal system   tetragonal

Lattice parameters (Å, degrees): 5.5112 5.5112 3.4010 90.00 90.00 90.00
With the nearest neighbours (Å) after each atom.
Fractional coordinates of all 4 atoms:
Cl  0.5000  0.0000  0.5000  8 Sc 3.24, 2 Cl 3.40
La  0.0000  0.5000  0.5000  8 Sc 3.24, 2 La 3.40
Sc  0.5000  0.5000  0.0000  4 La 3.24, 4 Cl 3.24, 2 Sc 3.40
Sc  0.0000  0.0000  0.0000  4 Cl 3.24, 4 La 3.24, 2 Sc 3.40

***

It comes down to Q, which is 8.6 kJ/mol of atoms more stable than the next structure.